No. 1
# K2AgIrO4 (PBE-GGA, optimized geometry)
data_K2AgIrO4
_chemical_formula_sum 'K4 Ag2 Ir2 O8'
_symmetry_space_group_name_H-M 'I -4'
_symmetry_Int_Tables_number 82
_cell_length_a 6.274
_cell_length_b 6.274
_cell_length_c 7.158
_cell_angle_alpha 90.00
_cell_angle_beta 90.00
_cell_angle_gamma 90.00
loop_
_symmetry_equiv_pos_as_xyz
'x,y,z'
'y,-x,-z'
'-x,-y,z'
'-y,x,-z'
'x+1/2,y+1/2,z+1/2'
'y+1/2,-x+1/2,-z+1/2'
'-x+1/2,-y+1/2,z+1/2'
'-y+1/2,x+1/2,-z+1/2'
loop_
_atom_site_label
_atom_site_type_symbol
_atom_site_fract_x
_atom_site_fract_y
_atom_site_fract_z
K1 K 0.000 0.000 0.000
K2 K 0.000 0.500 0.250
Ag1 Ag 0.000 0.500 0.750
Ir1 Ir 0.000 0.000 0.500
O1 O 0.149 0.258 0.533
# Energy relative to the elements, uncorrected: -0.857 eV per atom
# Total DFT energy (no corrections): -5.07 eV/atom
# Mass density: 5.2 Mg/m³

=====

No. 2
# K2AgIrOs (PBE-GGA, optimized geometry)
data_K2AgIrOs
_chemical_formula_sum 'K2 Ag1 Ir1 Os1'
_symmetry_space_group_name_H-M 'P 4/m m m'
_symmetry_Int_Tables_number 123
_symmetry_space_group_name_Hall '-P 4 2'
_cell_length_a 6.325
_cell_length_b 6.325
_cell_length_c 4.641
_cell_angle_alpha 90.00
_cell_angle_beta 90.00
_cell_angle_gamma 90.00
loop_
_atom_site_label
_atom_site_type_symbol
_atom_site_fract_x
_atom_site_fract_y
_atom_site_fract_z
K1 K 0.000 0.500 0.000
Ag1 Ag 0.000 0.000 0.500
Ir1 Ir 0.500 0.500 0.500
Os1 Os 0.500 0.500 0.000
# ΔE_f: 1.26 eV/atom
# Total DFT energy (no corrections): -3.77 eV/atom
# Mass density: 5.1 Mg/m³

=====

No. 3
# KAgIrOs2 (PBE-GGA, optimized geometry)
data_KAgIrOs2
_chemical_formula_sum 'K1 Ag1 Ir1 Os2'
_symmetry_space_group_name_H-M 'P 4/m m m'
_symmetry_Int_Tables_number 123
_symmetry_space_group_name_Hall '-P 4 2'
_cell_length_a 4.543
_cell_length_b 4.543
_cell_length_c 4.713
_cell_angle_alpha 90.00
_cell_angle_beta 90.00
_cell_angle_gamma 90.00
loop_
_atom_site_label
_atom_site_type_symbol
_atom_site_fract_x
_atom_site_fract_y
_atom_site_fract_z
K1 K 0.000 0.000 0.000
Ag1 Ag 0.000 0.000 0.500
Ir1 Ir 0.500 0.500 0.500
Os1 Os 0.000 0.500 0.000
# ΔE_f: 3.50 eV/atom
# Total DFT energy (no corrections): -3.55 eV/atom
# Mass density: 12.3 Mg/m³

=====

No. 4
# KAgPIr (PBE-GGA, optimized geometry)
data_KAgPIr
_chemical_formula_sum 'K2 Ag2 P2 Ir2'
_symmetry_space_group_name_H-M 'P 4/n m m'
_symmetry_Int_Tables_number 129
_cell_length_a 3.952
_cell_length_b 3.952
_cell_length_c 12.313
_cell_angle_alpha 90.00
_cell_angle_beta 90.00
_cell_angle_gamma 90.00
loop_
_symmetry_equiv_pos_as_xyz
'x,y,z'
'-x,-y,-z'
'-y+1/2,x,z'
'y+1/2,-x,-z'
'-x+1/2,-y+1/2,z'
'x+1/2,y+1/2,-z'
'y,-x+1/2,z'
'-y,x+1/2,-z'
'x+1/2,-y,-z'
'-x+1/2,y,z'
'-y,-x,-z'
'y,x,z'
'-x,y+1/2,-z'
'x,-y+1/2,z'
'y+1/2,x+1/2,-z'
'-y+1/2,-x+1/2,z'
loop_
_atom_site_label
_atom_site_type_symbol
_atom_site_fract_x
_atom_site_fract_y
_atom_site_fract_z
K1 K 0.250 0.250 0.239
Ag1 Ag 0.250 0.750 0.000
P1 P 0.250 0.250 0.605
Ir1 Ir 0.250 0.750 0.500
# ΔE_f: -0.37 eV/atom
# Total DFT energy (no corrections): -4.92 eV/atom
# Mass density: 6.4 Mg/m³

=====

No. 5
# KAg2IrPb (PBE-GGA, optimized geometry)
data_KAg2IrPb
_chemical_formula_sum 'K1 Ag2 Ir1 Pb1'
_symmetry_space_group_name_H-M 'P 4/m m m'
_symmetry_Int_Tables_number 123
_symmetry_space_group_name_Hall '-P 4 2'
_cell_length_a 5.204
_cell_length_b 5.204
_cell_length_c 5.422
_cell_angle_alpha 90.00
_cell_angle_beta 90.00
_cell_angle_gamma 90.00
loop_
_atom_site_label
_atom_site_type_symbol
_atom_site_fract_x
_atom_site_fract_y
_atom_site_fract_z
K1 K 0.000 0.000 0.000
Ag1 Ag 0.000 0.500 0.500
Ir1 Ir 0.000 0.000 0.500
Pb1 Pb 0.500 0.500 0.000
# ΔE_f: 0.94 eV/atom
# Total DFT energy (no corrections): -2.94 eV/atom
# Mass density: 7.4 Mg/m³

=====

No. 6
# KAgTeIr2 (PBE-GGA, optimized geometry)
data_KAgTeIr2
_chemical_formula_sum 'K1 Ag1 Te1 Ir2'
_symmetry_space_group_name_H-M 'P 4/m m m'
_symmetry_Int_Tables_number 123
_symmetry_space_group_name_Hall '-P 4 2'
_cell_length_a 4.960
_cell_length_b 4.960
_cell_length_c 5.388
_cell_angle_alpha 90.00
_cell_angle_beta 90.00
_cell_angle_gamma 90.00
loop_
_atom_site_label
_atom_site_type_symbol
_atom_site_fract_x
_atom_site_fract_y
_atom_site_fract_z
K1 K 0.000 0.000 0.000
Ag1 Ag 0.500 0.500 0.000
Te1 Te 0.500 0.500 0.500
Ir1 Ir 0.000 0.500 0.500
# Energy relative to the elements, uncorrected: 0.864 eV per atom
# Total DFT energy (no corrections): -4.10 eV/atom
# Mass density: 8.3 Mg/m³

=====

No. 7
# KZr2AgIr (PBE-GGA, optimized geometry)
data_KZr2AgIr
_chemical_formula_sum 'K1 Zr2 Ag1 Ir1'
_symmetry_space_group_name_H-M 'P 4/m m m'
_symmetry_Int_Tables_number 123
_symmetry_space_group_name_Hall '-P 4 2'
_cell_length_a 5.164
_cell_length_b 5.164
_cell_length_c 5.231
_cell_angle_alpha 90.00
_cell_angle_beta 90.00
_cell_angle_gamma 90.00
loop_
_atom_site_label
_atom_site_type_symbol
_atom_site_fract_x
_atom_site_fract_y
_atom_site_fract_z
K1 K 0.000 0.000 0.000
Zr1 Zr 0.000 0.500 0.500
Ag1 Ag 0.000 0.000 0.500
Ir1 Ir 0.500 0.500 0.000
# ΔE_f: 1.52 eV/atom
# Total DFT energy (no corrections): -4.46 eV/atom
# Mass density: 6.2 Mg/m³

=====

No. 8
# La8AgIr2 (PBE-GGA, optimized geometry)
data_La8AgIr2
_chemical_formula_sum 'La16 Ag2 Ir4'
_symmetry_space_group_name_H-M 'C 1 2/m 1'
_symmetry_Int_Tables_number 12
_cell_length_a 8.688
_cell_length_b 13.941
_cell_length_c 5.964
_cell_angle_alpha 90.00
_cell_angle_beta 106.50
_cell_angle_gamma 90.00
loop_
_symmetry_equiv_pos_as_xyz
'x,y,z'
'-x,-y,-z'
'-x,y,-z'
'x,-y,z'
'x+1/2,y+1/2,z'
'-x+1/2,-y+1/2,-z'
'-x+1/2,y+1/2,-z'
'x+1/2,-y+1/2,z'
loop_
_atom_site_label
_atom_site_type_symbol
_atom_site_fract_x
_atom_site_fract_y
_atom_site_fract_z
La1 La 0.000 0.238 0.000
La2 La 0.108 0.500 0.810
La3 La 0.215 0.124 0.568
Ag1 Ag 0.000 0.000 0.000
Ir1 Ir 0.000 0.287 0.500
# ΔE_f: -0.30 eV/atom
# Total DFT energy (no corrections): -5.76 eV/atom
# Mass density: 7.7 Mg/m³

=====

No. 9
# La2Ag2Ir (PBE-GGA, optimized geometry)
data_La2Ag2Ir
_chemical_formula_sum 'La4 Ag4 Ir2'
_symmetry_space_group_name_H-M 'P 4/m b m'
_symmetry_Int_Tables_number 127
_symmetry_space_group_name_Hall '-P 4 2ab'
_cell_length_a 7.515
_cell_length_b 7.515
_cell_length_c 4.327
_cell_angle_alpha 90.00
_cell_angle_beta 90.00
_cell_angle_gamma 90.00
loop_
_atom_site_label
_atom_site_type_symbol
_atom_site_fract_x
_atom_site_fract_y
_atom_site_fract_z
La1 La 0.184 0.316 0.000
Ag1 Ag 0.128 0.628 0.500
Ir1 Ir 0.000 0.000 0.500
# ΔE_f: -0.12 eV/atom
# Total DFT energy (no corrections): -5.01 eV/atom
# Mass density: 9.3 Mg/m³

=====

No. 10
# La5AgIr2 (PBE-GGA, optimized geometry)
data_La5AgIr2
_chemical_formula_sum 'La20 Ag4 Ir8'
_symmetry_space_group_name_H-M 'I 4/m c m'
_symmetry_Int_Tables_number 140
_symmetry_space_group_name_Hall '-I 4 2c'
_cell_length_a 8.081
_cell_length_b 8.081
_cell_length_c 14.221
_cell_angle_alpha 90.00
_cell_angle_beta 90.00
_cell_angle_gamma 90.00
loop_
_atom_site_label
_atom_site_type_symbol
_atom_site_fract_x
_atom_site_fract_y
_atom_site_fract_z
La1 La 0.000 0.000 0.000
La2 La 0.161 0.339 0.132
Ag1 Ag 0.000 0.000 0.250
Ir1 Ir 0.139 0.361 0.500
# ΔE_f: -0.54 eV/atom
# Total DFT energy (no corrections): -6.19 eV/atom
# Mass density: 8.5 Mg/m³

=====

No. 11
# La6Ag3Ir (PBE-GGA, optimized geometry)
data_La6Ag3Ir
_chemical_formula_sum 'La12 Ag6 Ir2'
_symmetry_space_group_name_H-M 'P 1 21/c 1'
_symmetry_Int_Tables_number 14
_cell_length_a 7.575
_cell_length_b 7.974
_cell_length_c 12.461
_cell_angle_alpha 90.00
_cell_angle_beta 120.02
_cell_angle_gamma 90.00
loop_
_symmetry_equiv_pos_as_xyz
'x,y,z'
'-x,-y,-z'
'-x,y+1/2,-z+1/2'
'x,-y+1/2,z+1/2'
loop_
_atom_site_label
_atom_site_type_symbol
_atom_site_fract_x
_atom_site_fract_y
_atom_site_fract_z
La1 La 0.080 0.044 0.248
La2 La 0.214 0.684 0.076
La3 La 0.368 0.169 0.065
Ag1 Ag 0.329 0.122 0.777
Ag2 Ag 0.500 0.000 0.500
Ir1 Ir 0.000 0.000 0.000
# ΔE_f: -0.27 eV/atom
# Total DFT energy (no corrections): -4.97 eV/atom
# Mass density: 6.9 Mg/m³

=====

No. 12
# La8AgIr4 (PBE-GGA, optimized geometry)
data_La8AgIr4
_chemical_formula_sum 'La16 Ag2 Ir8'
_symmetry_space_group_name_H-M 'C 1 m 1'
_symmetry_Int_Tables_number 8
_cell_length_a 18.323
_cell_length_b 4.284
_cell_length_c 12.560
_cell_angle_alpha 90.00
_cell_angle_beta 124.13
_cell_angle_gamma 90.00
loop_
_symmetry_equiv_pos_as_xyz
'x,y,z'
'x,-y,z'
'x+1/2,y+1/2,z'
'x+1/2,-y+1/2,z'
loop_
_atom_site_label
_atom_site_type_symbol
_atom_site_fract_x
_atom_site_fract_y
_atom_site_fract_z
La1 La 0.000 0.000 0.000
La2 La 0.031 0.500 0.429
La3 La 0.127 0.500 0.900
La4 La 0.158 0.000 0.330
La5 La 0.256 0.000 0.691
La6 La 0.304 0.500 0.262
La7 La 0.355 0.000 0.067
La8 La 0.402 0.500 0.638
Ag1 Ag 0.079 0.000 0.664
Ir1 Ir 0.200 0.000 0.097
Ir2 Ir 0.214 0.500 0.508
Ir3 Ir 0.444 0.000 0.821
Ir4 Ir 0.458 0.500 0.232
# ΔE_f: -0.59 eV/atom
# Total DFT energy (no corrections): -6.57 eV/atom
# Mass density: 8.1 Mg/m³

=====

| no. | size of the total moment (μB/cell) |
| --- | --- |
| 1 | 4.01 |
| 2 | 1.87 |
| 3 | 0.64 |
| 4 | 0.00 |
| 5 | 0.48 |
| 6 | 0.00 |
| 7 | 0.00 |
| 8 | 0.00 |
| 9 | 0.00 |
| 10 | 0.00 |
| 11 | 0.00 |
| 12 | 0.00 |